MgMn2CoC | PBE-GGA | optimized geometry

DOS at the Fermi energy = 3.7 states/eV/cell
VASP energy = -36.28 eV for the cell shown
SG = P4/mmm, No. 123

Lattice parameters (Å, degrees): 3.900 3.900 3.826 90.00 90.00 90.00
Sites, in units of the cell vectors:
Mg  0.000  0.000  0.000
Mn  0.000  0.500  0.500
Mn  0.500  0.000  0.500
Co  0.500  0.500  0.000
C  0.500  0.500  0.500

***

Mg2PW | PBE-GGA | optimized geometry

DOS at the Fermi energy = 3.0 states/eV/cell
VASP energy = -19.98 eV for the cell shown
SG = Pmmm, No. 47

Lattice parameters (Å, degrees): 3.172 4.258 4.801 90.00 90.00 90.00
Sites, in units of the cell vectors:
Mg  0.000  0.000  0.000
Mg  0.500  0.500  0.000
P  0.000  0.500  0.500
W  0.500  0.000  0.500

***

Sm3MgAl2 | PBE-GGA | optimized geometry

DOS at the Fermi energy = 6.5 states/eV/cell
VASP energy = -50.11 eV for the cell shown
SG = P-3m1, No. 164
polymorph energy (0 for the lowest one) = 0.0 meV/atom

Lattice parameters (Å, degrees): 5.275 5.275 12.907 90.00 90.00 120.00
Sites, in units of the cell vectors:
Sm  0.000  0.000  0.243
Sm  0.000  0.000  0.757
Sm  0.333  0.667  0.417
Sm  0.333  0.667  0.922
Sm  0.667  0.333  0.078
Sm  0.667  0.333  0.583
Mg  0.333  0.667  0.670
Mg  0.667  0.333  0.330
Al  0.000  0.000  0.000
Al  0.000  0.000  0.500
Al  0.333  0.667  0.174
Al  0.667  0.333  0.826

***

Cs3Tl2Pb4 | PBE-GGA | optimized geometry

DOS at the Fermi energy = 6.1 states/eV/cell
VASP energy = -23.09 eV for the cell shown
SG = P-1, No. 2
polymorph energy (0 for the lowest one) = 0.0 meV/atom

Lattice parameters (Å, degrees): 5.130 7.984 10.379 84.41 76.06 71.52
Sites, in units of the cell vectors:
Cs  0.000  0.000  0.000
Cs  0.286  0.796  0.637
Cs  0.714  0.204  0.363
Tl  0.472  0.266  0.793
Tl  0.528  0.734  0.207
Pb  0.008  0.362  0.623
Pb  0.242  0.418  0.095
Pb  0.758  0.582  0.905
Pb  0.992  0.638  0.377

***

Question: Which of these has the lowest VASP energy?
Answer: Sm3MgAl2

***

Question: Among the records above, which one has the lowest DOS at the Fermi energy?
Answer: Mg2PW

***

Question: Among the records above, which one has the lowest DOS at the Fermi energy?
Answer: Mg2PW